No. 1
{
  "formula": "AlSe2Cl",
  "functional": "PBE-GGA",
  "state": "relaxed",
  "de_polymorph_mev_per_atom": 544,
  "spacegroup": "No. 65",
  "cell": [[4.0271, -0.0330, 0.0000], [-2.2707, 3.3260, 0.0000], [0.0000, 0.0000, 7.5793]],
  "species": ["Cl", "Se", "Se", "Al"],
  "frac_coords": [[0.5000, 0.5000, 0.7500], [0.0000, 0.0000, 0.0448], [0.0000, 0.0000, 0.4552], [0.5000, 0.5000, 0.2500]]
}



No. 2
{
  "formula": "AlSeCl",
  "functional": "PBE-GGA",
  "state": "relaxed",
  "spacegroup": "No. 11",
  "cell": [[-1.3893, 0.9048, 3.4229], [-1.6198, -6.3778, 1.0271], [7.1553, -1.0791, 3.1973]],
  "species": ["Cl", "Cl", "Se", "Se", "Al", "Al"],
  "frac_coords": [[0.0420, 0.8080, 0.5571], [0.5406, 0.2860, 0.2428], [0.0411, 0.7316, 0.0420], [0.5415, 0.3626, 0.7581], [0.0416, 0.5951, 0.7487], [0.5410, 0.4991, 0.0514]]
}



No. 3
{
  "formula": "Al3SeCl",
  "functional": "PBE-GGA",
  "state": "relaxed",
  "de_polymorph_mev_per_atom": 0,
  "spacegroup": "No. 221",
  "cell": [[-1.1374, -0.7125, 5.1483], [5.0726, -1.2999, 0.9408], [1.1319, 5.1097, 0.9573]],
  "species": ["Al", "Al", "Al", "Cl", "Se"],
  "frac_coords": [[0.0000, 0.0000, 0.5000], [0.5000, 0.0000, 0.0000], [0.0000, 0.5000, 0.0000], [0.5000, 0.5000, 0.5000], [0.0000, 0.0000, 0.0000]]
}



No. 4
{
  "formula": "AlSeCl",
  "functional": "PBE-GGA",
  "state": "relaxed",
  "spacegroup": "No. 107",
  "cell": [[-1.5453, 4.5346, -5.3694], [-0.3233, 0.5093, -7.1705], [-1.2482, -3.2068, 6.3197]],
  "species": ["Cl", "Se", "Al"],
  "frac_coords": [[0.6181, 0.6181, 0.0000], [0.3915, 0.3915, 0.0000], [0.9904, 0.9904, 0.0000]]
}



No. 5
{
  "formula": "AlSe2Cl6",
  "functional": "PBE-GGA",
  "state": "relaxed",
  "spacegroup": "No. 2",
  "cell": [[-2.3419, 2.3674, -1.2426], [-7.1514, -4.3632, -2.0510], [-8.4243, 0.3765, 6.5278]],
  "species": ["Se", "Se", "Cl", "Cl", "Cl", "Cl", "Cl", "Cl", "Al"],
  "frac_coords": [[0.4867, 0.6598, 0.4222], [0.5132, 0.3403, 0.5778], [0.2306, 0.9841, 0.7829], [0.6766, 0.2749, 0.3929], [0.5833, 0.7763, 0.0845], [0.7694, 0.0159, 0.2171], [0.4167, 0.2237, 0.9155], [0.3236, 0.7250, 0.6071], [0.0000, 0.0000, 0.0000]]
}



No. 6
{
  "formula": "AlSe2Cl",
  "functional": "PBE-GGA",
  "state": "relaxed",
  "de_polymorph_mev_per_atom": 718,
  "spacegroup": "No. 99",
  "cell": [[3.1910, 0.0000, 0.0000], [0.0000, 3.1889, 0.0000], [0.0000, 0.0000, 8.9465]],
  "species": ["Al", "Se", "Se", "Cl"],
  "frac_coords": [[0.0000, 0.0000, 0.4711], [0.0000, 0.0000, 0.0687], [0.5000, 0.5000, 0.3069], [0.5000, 0.5000, 0.6533]]
}



Number 1: ρ 3.6 g/cm3, formation energy (no corrections) -0.1700 eV per atom, calculated total energy -3.31 eV per atom. Number 2: ρ 2.3 g/cm3, formation energy (no corrections) -1.1728 eV per atom, calculated total energy -4.20 eV per atom. Number 3: ρ 2.2 g/cm3, formation energy (no corrections) 0.4755 eV per atom, calculated total energy -2.84 eV per atom. Number 4: ρ 3.3 g/cm3, formation energy (no corrections) -0.3608 eV per atom, calculated total energy -3.39 eV per atom. Number 5: ρ 2.5 g/cm3, formation energy (no corrections) -0.7286 eV per atom, calculated total energy -3.15 eV per atom. Number 6: ρ 4.0 g/cm3, formation energy (no corrections) 0.0037 eV per atom, calculated total energy -3.14 eV per atom.